Record 1
# Hf3GeB2

A relaxed Hf3GeB2 crystal (PBE-GGA, OQMD).

Unit cell a=3.3828 b=3.3828 c=19.5490 alpha=90.00 beta=90.00 gamma=120.00
Atoms (fractional coordinates):
Hf 0.0000 0.0000 0.0000
Hf 0.0000 0.0000 0.5000
Hf 0.3333 0.6667 0.1404
Hf 0.3333 0.6667 0.3596
Hf 0.6667 0.3333 0.6404
Hf 0.6667 0.3333 0.8596
Ge 0.0000 0.0000 0.2500
Ge 0.0000 0.0000 0.7500
B 0.3333 0.6667 0.5739
B 0.3333 0.6667 0.9261
B 0.6667 0.3333 0.0739
B 0.6667 0.3333 0.4261

SG ... P6_3/mmc (194)

=====

Record 2
# Hf4GeB3

A relaxed Hf4GeB3 crystal (PBE-GGA, OQMD).

Unit cell a=3.4049 b=3.4049 c=24.9743 alpha=90.00 beta=90.00 gamma=120.00
Atoms (fractional coordinates):
Hf 0.0000 0.0000 0.1645
Hf 0.0000 0.0000 0.3355
Hf 0.0000 0.0000 0.6645
Hf 0.0000 0.0000 0.8355
Hf 0.3333 0.6667 0.0575
Hf 0.3333 0.6667 0.4425
Hf 0.6667 0.3333 0.5575
Hf 0.6667 0.3333 0.9425
Ge 0.3333 0.6667 0.2500
Ge 0.6667 0.3333 0.7500
B 0.0000 0.0000 0.0000
B 0.0000 0.0000 0.5000
B 0.3333 0.6667 0.6142
B 0.3333 0.6667 0.8858
B 0.6667 0.3333 0.1142
B 0.6667 0.3333 0.3858

SG ... P6_3/mmc (194)

=====

Record 3
# HgGeB4

A relaxed HgGeB4 crystal (PBE-GGA, OQMD).

Unit cell a=5.2745 b=5.2745 c=5.2745 alpha=146.17 beta=120.02 gamma=70.67
Atoms (fractional coordinates):
Hg 0.0000 0.0000 0.0000
Ge 0.5000 0.5000 0.0000
B 0.0875 0.7563 0.3312
B 0.4251 0.7563 0.6688
B 0.5749 0.2437 0.3312
B 0.9125 0.2437 0.6688

SG ... Immm (71)
Offset from the most stable computed form ... 78.8 meV/atom

=====

Record 4
# HgGeB

A relaxed HgGeB crystal (PBE-GGA, OQMD).

Unit cell a=4.1852 b=4.1852 c=4.1852 alpha=60.00 beta=60.00 gamma=60.00
Atoms (fractional coordinates):
Hg 0.0000 0.0000 0.0000
Ge 0.5000 0.5000 0.5000
B 0.7500 0.7500 0.7500

SG ... F-43m (216)
Offset from the most stable computed form ... 0.0 meV/atom

=====

In eV per atom, the VASP energy values for the records above are, in order, -8.507 -8.568 -4.581 -2.881.